# TmLuPt | Alexandria via LeMat-Bulk | PBE-GGA | optimized geometry
# **M_tot**: 0.00 μB/f.u.
# **Formation energy from the elements**: -0.94 eV/atom
# **Theoretical density**: 11610 kg/m³
data_TmLuPt
_chemical_formula_sum 'Tm4 Lu4 Pt4'
_cell_length_a 6.756
_cell_length_b 6.756
_cell_length_c 6.756
_cell_angle_alpha 90.00
_cell_angle_beta 90.00
_cell_angle_gamma 90.00
_space_group_name_H-M_alt 'F -4 3 m'
_space_group_IT_number 216
_space_group_name_Hall 'F -4 2 3'
loop_
_atom_site_label
_atom_site_fract_x
_atom_site_fract_y
_atom_site_fract_z
_atom_site_occupancy
Tm1 0.000 0.000 0.000 1
Lu1 0.000 0.000 0.500 1
Pt1 0.250 0.250 0.750 1

=====

# TmLuPt4 | Alexandria via LeMat-Bulk | PBE-GGA | optimized geometry
# **M_tot**: 0.00 μB/f.u.
# **Formation energy from the elements**: -1.12 eV/atom
# **Theoretical density**: 16760 kg/m³
data_TmLuPt4
_chemical_formula_sum 'Tm4 Lu4 Pt16'
_cell_length_a 7.638
_cell_length_b 7.638
_cell_length_c 7.638
_cell_angle_alpha 90.00
_cell_angle_beta 90.00
_cell_angle_gamma 90.00
_space_group_name_H-M_alt 'F -4 3 m'
_space_group_IT_number 216
_space_group_name_Hall 'F -4 2 3'
loop_
_atom_site_label
_atom_site_fract_x
_atom_site_fract_y
_atom_site_fract_z
_atom_site_occupancy
Tm1 0.000 0.000 0.000 1
Lu1 0.250 0.250 0.750 1
Pt1 0.125 0.125 0.375 1

=====

# LuVPt2 | Alexandria via LeMat-Bulk | PBE-GGA | optimized geometry
# **M_tot**: 2.53 μB/f.u.
# **Formation energy from the elements**: -0.74 eV/atom
# **Theoretical density**: 14499 kg/m³
data_LuVPt2
_chemical_formula_sum 'Lu1 V1 Pt2'
_cell_length_a 3.303
_cell_length_b 3.303
_cell_length_c 6.469
_cell_angle_alpha 90.00
_cell_angle_beta 90.00
_cell_angle_gamma 90.00
_space_group_name_H-M_alt 'P 4/m m m'
_space_group_IT_number 123
_space_group_name_Hall '-P 4 2'
loop_
_atom_site_label
_atom_site_fract_x
_atom_site_fract_y
_atom_site_fract_z
_atom_site_occupancy
Lu1 0.000 0.000 0.000 1
V1 0.000 0.000 0.500 1
Pt1 0.500 0.500 0.278 1

=====

# LuVPt2 | Alexandria via LeMat-Bulk | PBE-GGA | optimized geometry
# **M_tot**: 3.02 μB/f.u.
# **Formation energy from the elements**: -0.74 eV/atom
# **Theoretical density**: 14662 kg/m³
data_LuVPt2
_chemical_formula_sum 'Lu1 V1 Pt2'
_cell_length_a 4.350
_cell_length_b 4.350
_cell_length_c 3.687
_cell_angle_alpha 90.00
_cell_angle_beta 90.00
_cell_angle_gamma 90.00
_space_group_name_H-M_alt 'P 4/m m m'
_space_group_IT_number 123
_space_group_name_Hall '-P 4 2'
loop_
_atom_site_label
_atom_site_fract_x
_atom_site_fract_y
_atom_site_fract_z
_atom_site_occupancy
Lu1 0.000 0.000 0.000 1
V1 0.500 0.500 0.000 1
Pt1 0.000 0.500 0.500 1

=====

# YLu2Pt | Alexandria via LeMat-Bulk | PBE-GGA | optimized geometry
# **M_tot**: 0.51 μB/f.u.
# **Formation energy from the elements**: -0.64 eV/atom
# **Theoretical density**: 10238 kg/m³
data_YLu2Pt
_chemical_formula_sum 'Y1 Lu2 Pt1'
_cell_length_a 3.496
_cell_length_b 3.496
_cell_length_c 8.411
_cell_angle_alpha 90.00
_cell_angle_beta 90.00
_cell_angle_gamma 90.00
_space_group_name_H-M_alt 'P 4/m m m'
_space_group_IT_number 123
_space_group_name_Hall '-P 4 2'
loop_
_atom_site_label
_atom_site_fract_x
_atom_site_fract_y
_atom_site_fract_z
_atom_site_occupancy
Y1 0.000 0.000 0.000 1
Lu1 0.500 0.500 0.308 1
Pt1 0.000 0.000 0.500 1

=====

# Y2LuPt | Alexandria via LeMat-Bulk | PBE-GGA | optimized geometry
# **M_tot**: 0.00 μB/f.u.
# **Formation energy from the elements**: -0.56 eV/atom
# **Theoretical density**: 8593 kg/m³
data_Y2LuPt
_chemical_formula_sum 'Y2 Lu1 Pt1'
_cell_length_a 3.570
_cell_length_b 3.570
_cell_length_c 8.308
_cell_angle_alpha 90.00
_cell_angle_beta 90.00
_cell_angle_gamma 90.00
_space_group_name_H-M_alt 'P 4/m m m'
_space_group_IT_number 123
_space_group_name_Hall '-P 4 2'
loop_
_atom_site_label
_atom_site_fract_x
_atom_site_fract_y
_atom_site_fract_z
_atom_site_occupancy
Y1 0.000 0.000 0.200 1
Lu1 0.500 0.500 0.500 1
Pt1 0.500 0.500 0.000 1